Ac2MgSbO6 after structural relaxation. Source: Alexandria via LeMat-Bulk, functional PBE.

Unit cell a=5.809 b=5.809 c=4.305 alpha=90.00 beta=90.00 gamma=90.00
Space group P4mm (No. 99)
Unique sites:
1 Ac 0.000 0.500 0.000 [2 per cell]
2 Mg 0.000 0.000 0.554 [1 per cell]
3 Sb 0.500 0.500 0.551 [1 per cell]
4 O 0.000 0.000 0.078 [1 per cell]
5 O 0.249 0.249 0.612 [4 per cell]
6 O 0.500 0.500 0.059 [1 per cell]

E_tot	-6.8791	eV per atom
magnetization	0.000	μB per cell
DOS at the Fermi energy	0.9	states/eV/cell
crystal system	tetragonal